An optimized crystal structure of CdCoSeO, computed with PBE+U.

abc: 6.973 6.981 11.744
angles: 90.00 90.00 90.00
Last column: magnetic moment on the atom in μB.
Fractional positions:
O 0.742 0.571 0.284  0.10
Co 0.250 0.481 0.053  2.52
Se 0.495 0.747 0.021  0.11
Cd 0.958 0.319 0.743  0.01
Cd 0.458 0.181 0.743  0.01
Se 0.995 0.253 0.479  0.11
Co 0.250 0.981 0.447  2.53
Cd 0.958 0.819 0.757  0.01
Co 0.750 0.519 0.947  2.52
O 0.742 0.071 0.216  0.10
O 0.258 0.929 0.784  0.10
Se 0.505 0.253 0.979  0.11
O 0.242 0.429 0.216  0.11
Se 0.005 0.747 0.521  0.11
Cd 0.542 0.819 0.257  0.01
Co 0.750 0.019 0.553  2.53
Se 0.495 0.247 0.479  0.11
Co 0.750 0.019 0.053  2.54
Se 0.995 0.753 0.021  0.11
Cd 0.542 0.319 0.243  0.01
O 0.758 0.071 0.716  0.10
O 0.242 0.929 0.284  0.10
Cd 0.042 0.681 0.257  0.01
Se 0.005 0.247 0.979  0.11
Cd 0.458 0.681 0.757  0.01
Co 0.250 0.481 0.553  2.53
Co 0.750 0.519 0.447  2.53
Se 0.505 0.753 0.521  0.11
Co 0.250 0.981 0.947  2.54
O 0.258 0.429 0.716  0.10
Cd 0.042 0.181 0.243  0.01
O 0.758 0.571 0.784  0.11

Properties
- E above lowest polymorph (meV per atom) = 167
- symmetry = Pbca
- ρ (g cm⁻³) = 6.2